Entry 1:
# Tb2Ga3SnPd4 (GGA-PBE, relaxed)
data_Tb2Ga3SnPd4
_cell_length_a 4.123
_cell_length_b 4.123
_cell_length_c 11.408
_cell_angle_alpha 90.00
_cell_angle_beta 90.00
_cell_angle_gamma 90.00
_space_group_name_H-M_alt 'P -4 m 2'
_space_group_IT_number 115
loop_
_space_group_symop_operation_xyz
'x,y,z'
'y,-x,-z'
'-x,-y,z'
'-y,x,-z'
'-x,y,z'
'-y,-x,-z'
'x,-y,z'
'y,x,-z'
loop_
_atom_site_label
_atom_site_type_symbol
_atom_site_fract_x
_atom_site_fract_y
_atom_site_fract_z
Tb1 Tb 0.000 0.500 0.245
Ga1 Ga 0.000 0.500 0.869
Ga2 Ga 0.500 0.500 0.500
Sn1 Sn 0.000 0.000 0.500
Pd1 Pd 0.000 0.000 0.000
Pd2 Pd 0.000 0.500 0.653
Pd3 Pd 0.500 0.500 0.000
# Total energy   -5.0803 eV per atom
# Fermi-level density of states   0.48 states/eV per atom
# Crystal system   tetragonal


Entry 2:
# Mn2AgTe (GGA-PBE, relaxed)
data_Mn2AgTe
_cell_length_a 3.8491
_cell_length_b 3.8491
_cell_length_c 19.6903
_cell_angle_alpha 90.00
_cell_angle_beta 90.00
_cell_angle_gamma 120.00
_space_group_name_H-M_alt 'R -3 m'
_space_group_IT_number 166
_space_group_name_Hall '-R 3 2"'
loop_
_atom_site_label
_atom_site_type_symbol
_atom_site_fract_x
_atom_site_fract_y
_atom_site_fract_z
Mn1 Mn 0.0000 0.0000 0.2455
Ag1 Ag 0.0000 0.0000 0.5000
Te1 Te 0.0000 0.0000 0.0000
# Formation energy from raw total energies   1.56 eV per formula unit
# Fermi-level density of states   0.61 states/eV per atom
# Crystal system   trigonal


Entry 3:
# LiAgSn2 (GGA-PBE, relaxed)
data_LiAgSn2
_cell_length_a 4.6838
_cell_length_b 4.6838
_cell_length_c 20.4093
_cell_angle_alpha 90.00
_cell_angle_beta 90.00
_cell_angle_gamma 120.00
_space_group_name_H-M_alt 'R -3 m'
_space_group_IT_number 166
_space_group_name_Hall '-R 3 2"'
loop_
_atom_site_label
_atom_site_type_symbol
_atom_site_fract_x
_atom_site_fract_y
_atom_site_fract_z
Li1 Li 0.0000 0.0000 0.0000
Ag1 Ag 0.0000 0.0000 0.5000
Sn1 Sn 0.0000 0.0000 0.3682
# Relative energy among the computed polymorphs   250 meV per atom
# Fermi-level density of states   0.08 states/eV per atom
# Crystal system   trigonal


Number 1: M_tot 0.0 μB per formula unit. Number 2: M_tot 8.2 μB per formula unit. Number 3: M_tot 0.0 μB per formula unit.